Density functional theory data (GGA-PBE) for CsPaGeN3 after structural relaxation.

a b c (Å): 8.414 3.761 8.741
angles (deg): 90.00 110.33 90.00
Space group P2_1/m (No. 11)
Inequivalent atoms, fractional coordinates:
Cs  0.204  0.250  0.234 x2
Pa  0.343  0.750  0.851 x2
Ge  0.100  0.250  0.600 x2
N  0.155  0.750  0.541 x2
N  0.166  0.250  0.830 x2
N  0.482  0.750  0.114 x2

## Properties
Calculated density = 6.128 g/cm3



Density functional theory data (GGA-PBE) for Cs4Pa3GeN8 after structural relaxation.

a b c (Å): 12.816 6.890 8.094
angles (deg): 90.00 118.35 90.00
Space group C2/m (No. 12)
Inequivalent atoms, fractional coordinates:
Cs  0.000  0.000  0.000 x2
Cs  0.000  0.500  0.000 x2
Cs  0.250  0.250  0.000 x4
Pa  0.000  0.000  0.500 x2
Pa  0.250  0.250  0.500 x4
Ge  0.000  0.500  0.500 x2
N  0.035  0.276  0.364 x8
N  0.206  0.000  0.647 x4
N  0.242  0.000  0.325 x4

## Properties
Calculated density = 7.442 g/cm3



Density functional theory data (GGA-PBE) for CsPa2GeN5 after structural relaxation.

a b c (Å): 6.820 6.820 11.550
angles (deg): 90.00 90.00 90.00
Space group I4/mcm (No. 140)
Inequivalent atoms, fractional coordinates:
Cs  0.000  0.000  0.250 x4
Pa  0.192  0.308  0.000 x8
Ge  0.000  0.500  0.250 x4
N  0.000  0.000  0.000 x4
N  0.134  0.366  0.373 x16

## Properties
Calculated density = 9.120 g/cm3



Density functional theory data (GGA-PBE) for CsGe2PdN after structural relaxation.

a b c (Å): 4.344 4.344 5.996
angles (deg): 90.00 90.00 90.00
Space group P4/mmm (No. 123)
Inequivalent atoms, fractional coordinates:
Cs  0.000  0.000  0.000 x1
Ge  0.000  0.500  0.500 x2
Pd  0.500  0.500  0.000 x1
N  0.000  0.000  0.500 x1

## Properties
Calculated density = 5.851 g/cm3



Density functional theory data (GGA-PBE) for CsGePt2N after structural relaxation.

a b c (Å): 5.034 5.034 4.088
angles (deg): 90.00 90.00 90.00
Space group P4/mmm (No. 123)
Inequivalent atoms, fractional coordinates:
Cs  0.000  0.000  0.000 x1
Ge  0.500  0.500  0.500 x1
Pt  0.000  0.500  0.500 x2
N  0.500  0.500  0.000 x1

## Properties
Calculated density = 9.774 g/cm3



Density functional theory data (GGA-PBE) for CsGeSN2 after structural relaxation.

a b c (Å): 4.359 4.359 6.766
angles (deg): 90.00 90.00 90.00
Space group P4/mmm (No. 123)
Inequivalent atoms, fractional coordinates:
Cs  0.000  0.000  0.000 x1
Ge  0.500  0.500  0.500 x1
S  0.000  0.000  0.500 x1
N  0.000  0.500  0.000 x2

## Properties
Calculated density = 3.431 g/cm3



Density functional theory data (GGA-PBE) for CsGeSeN2 after structural relaxation.

a b c (Å): 4.475 4.475 5.178
angles (deg): 90.00 90.00 90.00
Space group P4/mmm (No. 123)
Inequivalent atoms, fractional coordinates:
Cs  0.000  0.000  0.000 x1
Ge  0.500  0.500  0.500 x1
Se  0.500  0.500  0.000 x1
N  0.000  0.500  0.500 x2

## Properties
Offset from the most stable computed form = 0.00 eV/f.u.
Calculated density = 5.005 g/cm3



Density functional theory data (GGA-PBE) for CsGeSeN2 after structural relaxation.

a b c (Å): 4.386 4.386 7.124
angles (deg): 90.00 90.00 90.00
Space group P4/mmm (No. 123)
Inequivalent atoms, fractional coordinates:
Cs  0.000  0.000  0.000 x1
Ge  0.500  0.500  0.500 x1
Se  0.000  0.000  0.500 x1
N  0.000  0.500  0.000 x2

## Properties
Offset from the most stable computed form = 5.70 eV/f.u.
Calculated density = 3.787 g/cm3



Density functional theory data (GGA-PBE) for CsGeSe2N after structural relaxation.

a b c (Å): 6.059 6.059 3.475
angles (deg): 90.00 90.00 90.00
Space group P4/mmm (No. 123)
Inequivalent atoms, fractional coordinates:
Cs  0.000  0.000  0.000 x1
Ge  0.500  0.500  0.500 x1
Se  0.000  0.500  0.500 x2
N  0.500  0.500  0.000 x1

## Properties
Offset from the most stable computed form = 0.00 eV/f.u.
Calculated density = 4.914 g/cm3



Density functional theory data (GGA-PBE) for CsGeSe2N after structural relaxation.

a b c (Å): 5.945 5.945 4.447
angles (deg): 90.00 90.00 90.00
Space group P4/mmm (No. 123)
Inequivalent atoms, fractional coordinates:
Cs  0.000  0.000  0.000 x1
Ge  0.500  0.500  0.500 x1
Se  0.000  0.500  0.000 x2
N  0.000  0.000  0.500 x1

## Properties
Offset from the most stable computed form = 7.07 eV/f.u.
Calculated density = 3.988 g/cm3



Density functional theory data (GGA-PBE) for CsGeSeN2 after structural relaxation.

a b c (Å): 4.291 4.291 6.316
angles (deg): 90.00 90.00 90.00
Space group P4/mmm (No. 123)
Inequivalent atoms, fractional coordinates:
Cs  0.000  0.000  0.000 x1
Ge  0.500  0.500  0.000 x1
Se  0.000  0.000  0.500 x1
N  0.000  0.500  0.500 x2

## Properties
Offset from the most stable computed form = 4.30 eV/f.u.
Calculated density = 4.462 g/cm3



Density functional theory data (GGA-PBE) for CsGeTe2N after structural relaxation.

a b c (Å): 6.495 6.495 3.509
angles (deg): 90.00 90.00 90.00
Space group P4/mmm (No. 123)
Inequivalent atoms, fractional coordinates:
Cs  0.000  0.000  0.000 x1
Ge  0.500  0.500  0.500 x1
Te  0.000  0.500  0.500 x2
N  0.500  0.500  0.000 x1

## Properties
Offset from the most stable computed form = 0.00 eV/f.u.
Calculated density = 5.326 g/cm3



no.,formation energy without anion corrections (meV per atom)
1,-556
2,-560
3,-740
4,842
5,858
6,2313
7,1084
8,2223
9,331
10,1745
11,1943
12,300